(1)
# CsCa2Sn2 PBE-GGA relaxed
# density of states at the Fermi level	0.521	states/eV per atom
# calculated volume	35.7	Å³ per atom
# energy above the most stable polymorph in this dataset	73	meV/atom
# ΔE_f	-365	meV per atom
# magnetic moment	0.000	μB/f.u.
# final energy	-29.372	eV per cell
data_CsCa2Sn2
_chemical_formula_sum 'Cs2 Ca4 Sn4'
_cell_length_a 10.0951
_cell_length_b 10.0951
_cell_length_c 3.5029
_cell_angle_alpha 90.00
_cell_angle_beta 90.00
_cell_angle_gamma 90.00
_symmetry_space_group_name_H-M 'P 4/m b m'
_symmetry_Int_Tables_number 127
_symmetry_space_group_name_Hall '-P 4 2ab'
loop_
_atom_site_label
_atom_site_type_symbol
_atom_site_fract_x
_atom_site_fract_y
_atom_site_fract_z
Cs1 Cs 0.0000 0.0000 0.0000
Ca1 Ca 0.1270 0.3730 0.5000
Sn1 Sn 0.1666 0.6666 0.0000

(2)
# Cs2CaSn PBE-GGA relaxed
# density of states at the Fermi level	0.460	states/eV per atom
# calculated volume	50.3	Å³ per atom
# energy above the most stable polymorph in this dataset	73	meV/atom
# ΔE_f	232	meV per atom
# magnetic moment	0.000	μB/f.u.
# final energy	-27.130	eV per cell
data_Cs2CaSn
_chemical_formula_sum 'Cs8 Ca4 Sn4'
_cell_length_a 9.2997
_cell_length_b 9.2997
_cell_length_c 9.2997
_cell_angle_alpha 90.00
_cell_angle_beta 90.00
_cell_angle_gamma 90.00
_symmetry_space_group_name_H-M 'F m -3 m'
_symmetry_Int_Tables_number 225
_symmetry_space_group_name_Hall '-F 4 2 3'
loop_
_atom_site_label
_atom_site_type_symbol
_atom_site_fract_x
_atom_site_fract_y
_atom_site_fract_z
Cs1 Cs 0.2500 0.2500 0.2500
Ca1 Ca 0.0000 0.0000 0.0000
Sn1 Sn 0.0000 0.0000 0.5000

(3)
# CsCaSn3 PBE-GGA relaxed
# density of states at the Fermi level	1.554	states/eV per atom
# calculated volume	45.6	Å³ per atom
# energy above the most stable polymorph in this dataset	792	meV/atom
# ΔE_f	1016	meV per atom
# magnetic moment	0.000	μB/f.u.
# final energy	-9.783	eV per cell
data_CsCaSn3
_chemical_formula_sum 'Cs1 Ca1 Sn3'
_cell_length_a 6.1110
_cell_length_b 6.1110
_cell_length_c 6.1110
_cell_angle_alpha 90.00
_cell_angle_beta 90.00
_cell_angle_gamma 90.00
_symmetry_space_group_name_H-M 'P m -3 m'
_symmetry_Int_Tables_number 221
_symmetry_space_group_name_Hall '-P 4 2 3'
loop_
_atom_site_label
_atom_site_type_symbol
_atom_site_fract_x
_atom_site_fract_y
_atom_site_fract_z
Cs1 Cs 0.0000 0.0000 0.0000
Ca1 Ca 0.5000 0.5000 0.5000
Sn1 Sn 0.0000 0.0000 0.5000

(4)
# CsCa3Sn PBE-GGA relaxed
# density of states at the Fermi level	0.846	states/eV per atom
# calculated volume	48.8	Å³ per atom
# energy above the most stable polymorph in this dataset	0	meV/atom
# ΔE_f	-103	meV per atom
# magnetic moment	0.928	μB/f.u.
# final energy	-11.378	eV per cell
data_CsCa3Sn
_chemical_formula_sum 'Cs1 Ca3 Sn1'
_cell_length_a 6.2473
_cell_length_b 6.2473
_cell_length_c 6.2473
_cell_angle_alpha 90.00
_cell_angle_beta 90.00
_cell_angle_gamma 90.00
_symmetry_space_group_name_H-M 'P m -3 m'
_symmetry_Int_Tables_number 221
_symmetry_space_group_name_Hall '-P 4 2 3'
loop_
_atom_site_label
_atom_site_type_symbol
_atom_site_fract_x
_atom_site_fract_y
_atom_site_fract_z
Cs1 Cs 0.0000 0.0000 0.0000
Ca1 Ca 0.0000 0.5000 0.5000
Sn1 Sn 0.5000 0.5000 0.5000

(5)
# CsCaSn4 PBE-GGA relaxed
# density of states at the Fermi level	1.236	states/eV per atom
# calculated volume	32.2	Å³ per atom
# energy above the most stable polymorph in this dataset	127	meV/atom
# ΔE_f	-194	meV per atom
# magnetic moment	0.000	μB/f.u.
# final energy	-80.114	eV per cell
data_CsCaSn4
_chemical_formula_sum 'Cs4 Ca4 Sn16'
_cell_length_a 9.1794
_cell_length_b 9.1794
_cell_length_c 9.1794
_cell_angle_alpha 90.00
_cell_angle_beta 90.00
_cell_angle_gamma 90.00
_symmetry_space_group_name_H-M 'F -4 3 m'
_symmetry_Int_Tables_number 216
_symmetry_space_group_name_Hall 'F -4 2 3'
loop_
_atom_site_label
_atom_site_type_symbol
_atom_site_fract_x
_atom_site_fract_y
_atom_site_fract_z
Cs1 Cs 0.0000 0.0000 0.0000
Ca1 Ca 0.2500 0.2500 0.2500
Sn1 Sn 0.1241 0.1241 0.6241

(6)
# CsCa2Sn2 PBE-GGA relaxed
# density of states at the Fermi level	0.796	states/eV per atom
# calculated volume	43.9	Å³ per atom
# energy above the most stable polymorph in this dataset	292	meV/atom
# ΔE_f	-146	meV per atom
# magnetic moment	0.000	μB/f.u.
# final energy	-27.185	eV per cell
data_CsCa2Sn2
_chemical_formula_sum 'Cs2 Ca4 Sn4'
_cell_length_a 5.7361
_cell_length_b 5.7361
_cell_length_c 13.3513
_cell_angle_alpha 90.00
_cell_angle_beta 90.00
_cell_angle_gamma 90.00
_symmetry_space_group_name_H-M 'I 4/m m m'
_symmetry_Int_Tables_number 139
_symmetry_space_group_name_Hall '-I 4 2'
loop_
_atom_site_label
_atom_site_type_symbol
_atom_site_fract_x
_atom_site_fract_y
_atom_site_fract_z
Cs1 Cs 0.0000 0.0000 0.0000
Ca1 Ca 0.0000 0.0000 0.3442
Sn1 Sn 0.0000 0.5000 0.2500

(7)
# CsCa2Sn PBE-GGA relaxed
# density of states at the Fermi level	0.512	states/eV per atom
# calculated volume	68.4	Å³ per atom
# ΔE_f	81	meV per atom
# magnetic moment	0.000	μB/f.u.
# final energy	-34.134	eV per cell
data_CsCa2Sn
_chemical_formula_sum 'Cs4 Ca8 Sn4'
_cell_length_a 7.6314
_cell_length_b 7.6314
_cell_length_c 18.7827
_cell_angle_alpha 90.00
_cell_angle_beta 90.00
_cell_angle_gamma 90.00
_symmetry_space_group_name_H-M 'I -4 2 d'
_symmetry_Int_Tables_number 122
_symmetry_space_group_name_Hall 'I -4 2bw'
loop_
_atom_site_label
_atom_site_type_symbol
_atom_site_fract_x
_atom_site_fract_y
_atom_site_fract_z
Cs1 Cs 0.0000 0.0000 0.0000
Ca1 Ca 0.0020 0.2500 0.6250
Sn1 Sn 0.0000 0.0000 0.5000

(8)
# CsCa2Sn2 PBE-GGA relaxed
# density of states at the Fermi level	0.470	states/eV per atom
# calculated volume	34.1	Å³ per atom
# energy above the most stable polymorph in this dataset	0	meV/atom
# ΔE_f	-438	meV per atom
# magnetic moment	0.000	μB/f.u.
# final energy	-30.104	eV per cell
data_CsCa2Sn2
_chemical_formula_sum 'Cs2 Ca4 Sn4'
_cell_length_a 9.9033
_cell_length_b 9.9033
_cell_length_c 3.4753
_cell_angle_alpha 90.00
_cell_angle_beta 90.00
_cell_angle_gamma 90.00
_symmetry_space_group_name_H-M 'P 4/m b m'
_symmetry_Int_Tables_number 127
_symmetry_space_group_name_Hall '-P 4 2ab'
loop_
_atom_site_label
_atom_site_type_symbol
_atom_site_fract_x
_atom_site_fract_y
_atom_site_fract_z
Cs1 Cs 0.0000 0.0000 0.0000
Ca1 Ca 0.1270 0.3730 0.0000
Sn1 Sn 0.1675 0.6675 0.5000

- What is the final energy in the first record?
  -29.372 eV per cell

- Number 7 is which compound?
  CsCa2Sn